# 1
HfTaNi: optimized geometry, GGA-PBE.

Geometry as POSCAR:
```
HfTaNi
1.0
-4.3215 -2.5773 -0.1074
0.0451 -4.9955 0.1419
-2.5447 -1.0298 9.1815
Ta Hf Ni
4 4 4
Direct
0.5805 0.8391 0.5000
0.8305 0.3391 0.0000
0.1695 0.6609 0.0000
0.9195 0.1609 0.5000
0.1718 0.5000 0.6564
0.4218 0.0000 0.1564
0.3282 0.5000 0.3436
0.5782 0.0000 0.8436
0.1245 0.0000 0.7511
0.6255 0.5000 0.7489
0.8745 0.5000 0.2511
0.8755 0.0000 0.2489
```

Output
The calculation puts the energy of formation from the pure elements at -0.27 eV/atom. The value obtained for the density of states at the Fermi level is 11.6 states/eV/cell. The calculation puts the total energy at -113.63 eV per cell.

---

# 2
PmSi2Ru: optimized geometry, GGA-PBE.

Geometry as POSCAR:
```
PmSi2Ru
1.0
-2.8716 0.3392 -2.8780
-4.6037 -2.9739 1.3505
-3.2066 2.4447 0.5981
Ru Si Pm
1 2 1
Direct
0.2500 0.2500 0.2500
0.5399 0.3805 0.5396
0.9601 0.1196 0.9604
0.7500 0.7500 0.7500
```

Output
The value obtained for the density of states at the Fermi level is 2.1 states/eV/cell. The calculation puts the total energy at -27.88 eV per cell.

---

# 3
InCuWC2: optimized geometry, GGA-PBE.

Geometry as POSCAR:
```
InCuWC2
1.0
4.0536 0.0000 0.0000
0.0000 5.2905 0.0000
0.0000 0.0000 4.0536
Cu C W In
1 2 1 1
Direct
0.5000 0.5000 0.5000
0.5000 0.0000 0.0000
0.0000 0.0000 0.5000
0.0000 0.5000 0.0000
0.0000 0.0000 0.0000
```

Output
The calculation puts the energy of formation from the pure elements at 3.29 eV/atom. The value obtained for the density of states at the Fermi level is 4.1 states/eV/cell. The calculation puts the total energy at -21.80 eV per cell.

---

# 4
Pm8Si3HgI4: optimized geometry, GGA-PBE.

Geometry as POSCAR:
```
Pm8Si3HgI4
1.0
8.6954 0.0000 0.0000
0.0000 9.0620 0.2541
-4.3477 -4.3471 6.1514
Pm Si I Hg
8 3 4 1
Direct
0.7242 0.7063 0.9652
0.2676 0.3027 0.5351
0.7590 0.2937 0.0348
0.2410 0.7063 0.9652
0.2758 0.2937 0.0348
0.2410 0.7062 0.4820
0.7590 0.2938 0.5180
0.7324 0.6973 0.4649
0.0000 0.5000 0.5000
0.5000 0.5000 0.5000
0.5000 0.5000 0.0000
0.5000 0.0000 0.5000
0.0000 0.0000 0.0000
0.5000 0.0000 0.0000
0.0000 0.0000 0.5000
0.0000 0.5000 0.0000
```

Output
The value obtained for the density of states at the Fermi level is 8.4 states/eV/cell. The calculation puts the total energy at -74.39 eV per cell.

---

# 5
La2CrHg: optimized geometry, GGA-PBE.

Geometry as POSCAR:
```
La2CrHg
1.0
5.2222 0.0000 0.0000
2.6111 4.5226 0.0000
2.6111 1.5075 4.2639
Cr La Hg
1 2 1
Direct
0.5000 0.5000 0.5000
0.2500 0.2500 0.2500
0.0000 0.0000 0.0000
0.7500 0.7500 0.7500
```

Output
The calculation puts the energy of formation from the pure elements at 0.10 eV/atom. The value obtained for the density of states at the Fermi level is 4.5 states/eV/cell. The calculation puts the total energy at -19.37 eV per cell.

---

# 6
Na2Sb2O7: optimized geometry, GGA-PBE.

Geometry as POSCAR:
```
Na2Sb2O7
1.0
-2.6642 0.2652 4.1394
0.1053 -5.8252 0.4416
4.4775 0.2367 2.0490
Sb Na O
2 2 7
Direct
0.2721 0.0000 0.7279
0.7279 0.0000 0.2721
0.7453 0.5000 0.7453
0.2547 0.5000 0.2547
0.5000 0.7774 0.0000
0.0000 0.7774 0.5000
0.5000 0.7892 0.5000
0.0000 0.2226 0.5000
0.5000 0.2108 0.5000
0.0000 0.0000 0.0000
0.5000 0.2226 0.0000
```

Output
The value obtained for the density of states at the Fermi level is 5.0 states/eV/cell. The calculation puts the total energy at -57.89 eV per cell.

---

# 7
BaSrNdCu3O7: optimized geometry, GGA-PBE.

Geometry as POSCAR:
```
BaSrNdCu3O7
1.0
3.8186 0.0000 0.0000
0.0000 3.9376 0.0000
0.0000 0.0000 11.7893
Cu O Sr Ba Nd
3 7 1 1 1
Direct
0.0000 0.0000 0.6596
0.0000 0.0000 0.3481
0.0000 0.0000 0.9960
0.5000 0.0000 0.3752
0.0000 0.0000 0.8379
0.0000 0.5000 0.6365
0.5000 0.0000 0.6319
0.0000 0.0000 0.1548
0.0000 0.5000 0.3722
0.0000 0.5000 0.9855
0.5000 0.5000 0.8215
0.5000 0.5000 0.1769
0.5000 0.5000 0.5038
```

Output
The value obtained for the density of states at the Fermi level is 4.5 states/eV/cell. The calculation puts the total energy at -78.64 eV per cell.

---

# 8
KFeRe: optimized geometry, GGA-PBE.

Geometry as POSCAR:
```
KFeRe
1.0
-2.8910 -2.6284 -5.5062
-3.2451 -5.5662 -2.0179
1.2063 5.4238 3.8357
K Re Fe
1 1 1
Direct
0.3355 0.3355 0.0000
0.6157 0.6157 0.0000
0.0488 0.0488 0.0000
```

Output
The calculation puts the energy of formation from the pure elements at 0.95 eV/atom. The value obtained for the density of states at the Fermi level is 3.7 states/eV/cell. The calculation puts the total energy at -19.16 eV per cell.

---

# 9
AcPrTe2O8: optimized geometry, GGA-PBE.

Geometry as POSCAR:
```
AcPrTe2O8
1.0
-4.5850 -4.1927 2.0746
3.5411 -2.1694 -5.0654
4.1434 0.9469 4.9840
O Te Pr Ac
8 2 1 1
Direct
0.9384 0.6155 0.6770
0.3115 0.1245 0.8129
0.3115 0.4986 0.1871
0.8755 0.6885 0.1871
0.7386 0.0616 0.6770
0.3845 0.0616 0.3230
0.9384 0.2614 0.3230
0.5014 0.6885 0.8129
0.5000 0.5000 0.0000
0.7500 0.2500 0.5000
0.2500 0.7500 0.5000
0.0000 0.0000 0.0000
```

Output
The value obtained for the density of states at the Fermi level is 2.7 states/eV/cell. The calculation puts the total energy at -77.95 eV per cell.

---

# 10
Na3SrRe: optimized geometry, GGA-PBE.

Geometry as POSCAR:
```
Na3SrRe
1.0
-2.3334 1.4489 -5.7808
-3.5613 -5.3167 0.1050
-4.7785 3.2550 2.7447
Na Re Sr
3 1 1
Direct
0.5000 0.0000 0.0000
0.0000 0.0000 0.5000
0.0000 0.5000 0.0000
0.5000 0.5000 0.5000
0.0000 0.0000 0.0000
```

Output
The calculation puts the energy of formation from the pure elements at 1.95 eV/atom. The value obtained for the density of states at the Fermi level is 5.0 states/eV/cell. The calculation puts the total energy at -8.36 eV per cell.

---

# 11
Mg4W5: optimized geometry, GGA-PBE.

Geometry as POSCAR:
```
Mg4W5
1.0
-6.5897 1.3267 -4.5323
-0.7697 -3.0036 7.4908
-0.3496 5.0272 1.9798
Mg W
8 10
Direct
0.0000 0.0000 0.0000
0.7119 0.0000 0.7500
0.2881 0.0000 0.2500
0.2881 0.2881 0.7500
0.7119 0.7119 0.2500
0.0000 0.0000 0.5000
0.0000 0.7119 0.7500
0.0000 0.2881 0.2500
0.3936 0.0000 0.7500
0.6667 0.3333 0.5000
0.3333 0.6667 0.5000
0.6064 0.6064 0.7500
0.0000 0.6064 0.2500
0.3333 0.6667 0.0000
0.6064 0.0000 0.2500
0.3936 0.3936 0.2500
0.0000 0.3936 0.7500
0.6667 0.3333 0.0000
```

Output
The calculation puts the energy of formation from the pure elements at 0.64 eV/atom. The value obtained for the density of states at the Fermi level is 11.3 states/eV/cell. The calculation puts the total energy at -130.73 eV per cell.

---

# 12
Pa2InIr: optimized geometry, GGA-PBE.

Geometry as POSCAR:
```
Pa2InIr
1.0
3.6818 0.0000 0.0000
0.0000 3.6818 0.0000
0.0000 0.0000 6.9539
Pa Ir In
2 1 1
Direct
0.0000 0.0000 0.1990
0.0000 0.0000 0.8010
0.5000 0.5000 0.0000
0.5000 0.5000 0.5000
```

Output
The calculation puts the energy of formation from the pure elements at -0.30 eV/atom. The value obtained for the density of states at the Fermi level is 5.2 states/eV/cell. The calculation puts the total energy at -31.79 eV per cell.